# 1
The following is a DFT calculation (PBE) of a relaxed structure of LuPbO2.

Computed properties:
VASP energy = -7.031 eV per atom
energy relative to the elements, uncorrected = -2.4949 eV/atom
magnetization = 0.00 μB/f.u.
theoretical density = 9.74 g/cm3

Lattice parameters (Å, degrees): 7.3125 7.3125 7.3125 26.90 26.90 26.90
With the nearest neighbours (Å) after each atom.
Atoms (fractional coordinates):
Lu 0.0000 0.0000 0.0000  6 O 2.24
Pb 0.5000 0.5000 0.5000  2 O 2.45
O 0.3841 0.3841 0.3841  3 Lu 2.24, 1 Pb 2.45
O 0.6159 0.6159 0.6159  3 Lu 2.24, 1 Pb 2.45

# 2
The following is a DFT calculation (PBE) of a relaxed structure of Lu2PdO4.

Computed properties:
VASP energy = -7.588 eV per atom
energy relative to the elements, uncorrected = -2.7210 eV/atom
magnetization = 0.00 μB/f.u.
theoretical density = 9.70 g/cm3

Lattice parameters (Å, degrees): 6.4488 6.4488 5.5291 90.00 90.00 50.81
With the nearest neighbours (Å) after each atom.
Atoms (fractional coordinates):
Lu 0.1616 0.1616 0.0000  6 O 2.18-2.30
Lu 0.3384 0.3384 0.5000  6 O 2.18-2.30
Lu 0.6616 0.6616 0.5000  6 O 2.18-2.30
Lu 0.8384 0.8384 0.0000  6 O 2.18-2.30
Pd 0.0000 0.0000 0.5000  4 O 2.06
Pd 0.5000 0.5000 0.0000  4 O 2.06
O 0.0094 0.4906 0.7500  4 Lu 2.18-2.24
O 0.1684 0.8316 0.8315  2 Pd 2.06, 2 Lu 2.30
O 0.3316 0.6684 0.3315  2 Pd 2.06, 2 Lu 2.30
O 0.4906 0.0094 0.2500  4 Lu 2.18-2.24
O 0.5094 0.9906 0.7500  4 Lu 2.18-2.24
O 0.6684 0.3316 0.6685  2 Pd 2.06, 2 Lu 2.30
O 0.8316 0.1684 0.1685  2 Pd 2.06, 2 Lu 2.30
O 0.9906 0.5094 0.2500  4 Lu 2.18-2.24

# 3
The following is a DFT calculation (PBE) of a relaxed structure of LuPdO.

Computed properties:
VASP energy = -5.988 eV per atom
energy relative to the elements, uncorrected = -1.0971 eV/atom
magnetization = 0.00 μB/f.u.
theoretical density = 9.83 g/cm3

Lattice parameters (Å, degrees): 4.4631 4.4631 4.4631 130.48 130.48 72.64
With the nearest neighbours (Å) after each atom.
Atoms (fractional coordinates):
Lu 0.0000 0.0000 0.0000  1 O 2.06
Pd 0.6160 0.6160 0.0000  1 O 2.37
O 0.2870 0.2870 0.0000  1 Lu 2.06

# 4
The following is a DFT calculation (PBE) of a relaxed structure of Lu3PdO.

Computed properties:
VASP energy = -6.172 eV per atom
energy relative to the elements, uncorrected = -1.4293 eV/atom
magnetization = 0.00 μB/f.u.
theoretical density = 11.20 g/cm3

Lattice parameters (Å, degrees): 4.5780 4.5780 4.5780 90.00 90.00 90.00
With the nearest neighbours (Å) after each atom.
Atoms (fractional coordinates):
Lu 0.0000 0.0000 0.5000  2 O 2.29
Lu 0.0000 0.5000 0.0000  2 O 2.29
Lu 0.5000 0.0000 0.0000  2 O 2.29
Pd 0.5000 0.5000 0.5000  12 Lu 3.24
O 0.0000 0.0000 0.0000  6 Lu 2.29

# 5
The following is a DFT calculation (PBE) of a relaxed structure of PmLu3O.

Computed properties:
VASP energy = -5.706 eV per atom
energy relative to the elements, uncorrected = -1.0512 eV/atom
magnetization = 0.00 μB/f.u.
theoretical density = 9.87 g/cm3

Lattice parameters (Å, degrees): 4.8686 4.8686 4.8686 90.00 90.00 90.00
With the nearest neighbours (Å) after each atom.
Atoms (fractional coordinates):
Pm 0.0000 0.0000 0.0000  12 Lu 3.44
Lu 0.0000 0.5000 0.5000  2 O 2.43
Lu 0.5000 0.0000 0.5000  2 O 2.43
Lu 0.5000 0.5000 0.0000  2 O 2.43
O 0.5000 0.5000 0.5000  6 Lu 2.43

# 6
The following is a DFT calculation (PBE) of a relaxed structure of Pm3Lu5O12.

Computed properties:
VASP energy = -8.274 eV per atom
energy relative to the elements, uncorrected = -3.4561 eV/atom
magnetization = 0.00 μB/f.u.
theoretical density = 8.30 g/cm3

Lattice parameters (Å, degrees): 11.6027 11.6027 11.6027 109.47 109.47 109.47
With the nearest neighbours (Å) after each atom.
Atoms (fractional coordinates):
Pm 0.1250 0.2500 0.3750  8 O 2.52-2.57
Pm 0.1250 0.3750 0.7500  8 O 2.52-2.57
Pm 0.2500 0.3750 0.1250  8 O 2.52-2.57
Pm 0.2500 0.8750 0.6250  8 O 2.52-2.57
Pm 0.3750 0.1250 0.2500  8 O 2.52-2.57
Pm 0.3750 0.7500 0.1250  8 O 2.52-2.57
Pm 0.6250 0.2500 0.8750  8 O 2.52-2.57
Pm 0.6250 0.8750 0.7500  8 O 2.52-2.57
Pm 0.7500 0.1250 0.3750  8 O 2.52-2.57
Pm 0.7500 0.6250 0.8750  8 O 2.52-2.57
Pm 0.8750 0.6250 0.2500  8 O 2.52-2.57
Pm 0.8750 0.7500 0.6250  8 O 2.52-2.57
Lu 0.0000 0.0000 0.0000  6 O 2.22
Lu 0.0000 0.0000 0.5000  6 O 2.22
Lu 0.0000 0.5000 0.0000  6 O 2.22
Lu 0.0000 0.5000 0.5000  6 O 2.22
Lu 0.1250 0.7500 0.8750  4 O 2.06
Lu 0.1250 0.8750 0.2500  4 O 2.06
Lu 0.2500 0.1250 0.8750  4 O 2.06
Lu 0.2500 0.6250 0.3750  4 O 2.06
Lu 0.3750 0.2500 0.6250  4 O 2.06
Lu 0.3750 0.6250 0.7500  4 O 2.06
Lu 0.5000 0.0000 0.0000  6 O 2.22
Lu 0.5000 0.0000 0.5000  6 O 2.22
Lu 0.5000 0.5000 0.0000  6 O 2.22
Lu 0.5000 0.5000 0.5000  6 O 2.22
Lu 0.6250 0.3750 0.2500  4 O 2.06
Lu 0.6250 0.7500 0.3750  4 O 2.06
Lu 0.7500 0.3750 0.6250  4 O 2.06
Lu 0.7500 0.8750 0.1250  4 O 2.06
Lu 0.8750 0.1250 0.7500  4 O 2.06
Lu 0.8750 0.2500 0.1250  4 O 2.06
O 0.0382 0.2137 0.1286  2 Lu 2.06-2.22
O 0.0382 0.3246 0.9096  2 Lu 2.06-2.22
O 0.0850 0.7137 0.6754  2 Lu 2.06-2.22
O 0.0850 0.8714 0.4096  2 Lu 2.06-2.22
O 0.0904 0.6286 0.4150  2 Lu 2.06-2.22
O 0.0904 0.9618 0.6754  2 Lu 2.06-2.22
O 0.1286 0.0382 0.2137  2 Lu 2.06-2.22
O 0.1286 0.5904 0.9150  2 Lu 2.06-2.22
O 0.1754 0.2137 0.5850  2 Lu 2.06-2.22
O 0.1754 0.4618 0.5904  2 Lu 2.06-2.22
O 0.2137 0.1286 0.0382  2 Lu 2.06-2.22
O 0.2137 0.5850 0.1754  2 Lu 2.06-2.22
O 0.2863 0.3246 0.9150  2 Lu 2.06-2.22
O 0.2863 0.4618 0.3714  2 Lu 2.06-2.22
O 0.3246 0.9096 0.0382  2 Lu 2.06-2.22
O 0.3246 0.9150 0.2863  2 Lu 2.06-2.22
O 0.3714 0.2863 0.4618  2 Lu 2.06-2.22
O 0.3714 0.5850 0.9096  2 Lu 2.06-2.22
O 0.4096 0.0850 0.8714  2 Lu 2.06-2.22
O 0.4096 0.8246 0.5382  2 Lu 2.06-2.22
O 0.4150 0.0904 0.6286  2 Lu 2.06-2.22
O 0.4150 0.8246 0.7863  2 Lu 2.06-2.22
O 0.4618 0.3714 0.2863  2 Lu 2.06-2.22
O 0.4618 0.5904 0.1754  2 Lu 2.06-2.22
O 0.5382 0.4096 0.8246  2 Lu 2.06-2.22
O 0.5382 0.6286 0.7137  2 Lu 2.06-2.22
O 0.5850 0.1754 0.2137  2 Lu 2.06-2.22
O 0.5850 0.9096 0.3714  2 Lu 2.06-2.22
O 0.5904 0.1754 0.4618  2 Lu 2.06-2.22
O 0.5904 0.9150 0.1286  2 Lu 2.06-2.22
O 0.6286 0.4150 0.0904  2 Lu 2.06-2.22
O 0.6286 0.7137 0.5382  2 Lu 2.06-2.22
O 0.6754 0.0850 0.7137  2 Lu 2.06-2.22
O 0.6754 0.0904 0.9618  2 Lu 2.06-2.22
O 0.7137 0.5382 0.6286  2 Lu 2.06-2.22
O 0.7137 0.6754 0.0850  2 Lu 2.06-2.22
O 0.7863 0.4150 0.8246  2 Lu 2.06-2.22
O 0.7863 0.8714 0.9618  2 Lu 2.06-2.22
O 0.8246 0.5382 0.4096  2 Lu 2.06-2.22
O 0.8246 0.7863 0.4150  2 Lu 2.06-2.22
O 0.8714 0.4096 0.0850  2 Lu 2.06-2.22
O 0.8714 0.9618 0.7863  2 Lu 2.06-2.22
O 0.9096 0.0382 0.3246  2 Lu 2.06-2.22
O 0.9096 0.3714 0.5850  2 Lu 2.06-2.22
O 0.9150 0.1286 0.5904  2 Lu 2.06-2.22
O 0.9150 0.2863 0.3246  2 Lu 2.06-2.22
O 0.9618 0.6754 0.0904  2 Lu 2.06-2.22
O 0.9618 0.7863 0.8714  2 Lu 2.06-2.22

> VASP energy of number 1 (LuPbO2)?

-7.031 eV per atom

> Which value of VASP energy does entry 4 give?

-6.172 eV per atom

> The highest theoretical density belongs to which entry?

Lu3PdO